Record 1
Here is a relaxed structure of CsLaZrMn2 from Alexandria via LeMat-Bulk. Energies are from PBE-GGA.

## Properties
DFT total energy in eV per cell: -23.83

abc: 5.1889 5.1889 5.4017
angles: 90.00 90.00 90.00
Last column: nearest neighbours and their distance in Å.
Space group P4/mmm (No. 123)
Asymmetric unit:
Cs 0.0000 0.0000 0.0000 (multiplicity 1)  4 Mn 2.59, 2 Zr 2.70
La 0.5000 0.5000 0.5000 (multiplicity 1)  4 Zr 3.67, 8 Mn 3.75
Zr 0.0000 0.0000 0.5000 (multiplicity 1)  2 Cs 2.70
Mn 0.0000 0.5000 0.0000 (multiplicity 2)  2 Cs 2.59


Record 2
Here is a relaxed structure of CsLa3Mo from Alexandria via LeMat-Bulk. Energies are from PBE-GGA.

## Properties
DFT total energy in eV per cell: -24.22

abc: 5.7815 5.7815 5.7815
angles: 90.00 90.00 90.00
Last column: nearest neighbours and their distance in Å.
Space group Pm-3m (No. 221)
Asymmetric unit:
Cs 0.0000 0.0000 0.0000 (multiplicity 1)  12 La 4.09
La 0.0000 0.5000 0.5000 (multiplicity 3)  2 Mo 2.89
Mo 0.5000 0.5000 0.5000 (multiplicity 1)  6 La 2.89


Record 3
Here is a relaxed structure of CsLaMo2 from Alexandria via LeMat-Bulk. Energies are from PBE-GGA.

## Properties
DFT total energy in eV per cell: -79.96

abc: 7.3882 7.3882 7.3882
angles: 90.00 90.00 90.00
Last column: nearest neighbours and their distance in Å.
Space group Fm-3m (No. 225)
Asymmetric unit:
Cs 0.0000 0.0000 0.0000 (multiplicity 4)  8 Mo 3.20
La 0.0000 0.0000 0.5000 (multiplicity 4)  8 Mo 3.20
Mo 0.2500 0.2500 0.2500 (multiplicity 8)  4 La 3.20, 4 Cs 3.20


Record 4
Here is a relaxed structure of CsLaMo3 from Alexandria via LeMat-Bulk. Energies are from PBE-GGA.

## Properties
Distance to the lowest polymorph of the same formula in eV/atom: 0.015
DFT total energy in eV per cell: -25.48

abc: 5.0294 5.0294 5.0294
angles: 90.00 90.00 90.00
Last column: nearest neighbours and their distance in Å.
Space group Pm-3m (No. 221)
Asymmetric unit:
Cs 0.0000 0.0000 0.0000 (multiplicity 1)  6 Mo 2.51
La 0.5000 0.5000 0.5000 (multiplicity 1)  12 Mo 3.56
Mo 0.0000 0.0000 0.5000 (multiplicity 3)  2 Cs 2.51


no.,formation energy from the elements (eV/atom),V (Å³ per atom),calculated density (g cm⁻³)
1,1.77,29.1,5.40
2,0.45,38.7,5.55
3,1.86,25.2,7.64
4,2.56,25.4,7.30